DFT (GGA-PBE) results for BaCrBRh2 after structural relaxation.

Computed properties:
offset from the most stable computed form	0.343	eV/atom
DOS(E_F)	0.23	states/eV per atom
DFT formation energy	2.673	eV per atom

Lattice parameters (Å, degrees): 5.055 5.055 5.567 90.00 90.00 90.00
Positions (direct):
Ba (0.000, 0.000, 0.000)
Cr (0.000, 0.000, 0.500)
B (0.500, 0.500, 0.500)
Rh (0.000, 0.500, 0.000)
Rh (0.500, 0.000, 0.000)


DFT (GGA-PBE) results for BaCrBRh2 after structural relaxation.

Computed properties:
offset from the most stable computed form	0.000	eV/atom
DOS(E_F)	1.09	states/eV per atom
DFT formation energy	2.329	eV per atom

Lattice parameters (Å, degrees): 5.096 5.096 4.846 90.00 90.00 90.00
Positions (direct):
Ba (0.000, 0.000, 0.000)
Cr (0.500, 0.500, 0.500)
B (0.000, 0.000, 0.500)
Rh (0.000, 0.500, 0.000)
Rh (0.500, 0.000, 0.000)